# ZnPH6CCl3

An optimized crystal structure of ZnPH6CCl3 (GGA-PBE, Alexandria via LeMat-Bulk).

Computed properties:
energy above the most stable polymorph in this dataset: 0.000 eV per atom
raw total energy: -3.969 eV/atom
SG: P1 (1)

extended XYZ file:
```
48
Lattice="-5.340 1.622 5.948 -2.643 -6.130 -1.486 16.085 -7.479 3.477" Properties=species:S:1:pos:R:3 pbc="T T T"
Cl 9.577 -11.253 3.264
H 1.143 -7.442 6.157
H 3.069 -6.638 6.987
H -0.416 -2.709 6.545
Cl -1.295 -0.882 4.262
H 5.188 -3.514 6.674
C 3.206 -9.023 5.806
Zn 0.470 -5.513 3.291
Zn 10.096 -5.464 5.430
Zn 0.719 -0.905 3.282
C 5.359 -3.494 3.090
H -3.893 -3.662 5.621
Cl 2.351 -1.680 4.821
H -6.534 -3.926 4.549
H 4.202 -8.971 5.352
P -5.549 -3.077 4.003
H 6.408 -3.816 3.072
H 13.275 -7.833 5.218
Cl -1.136 -4.761 1.789
H 7.243 -7.593 7.965
H 7.613 -5.349 8.357
Cl 0.222 -4.862 5.422
H -2.385 -6.686 5.318
H 4.740 -4.279 3.540
Cl 5.676 -6.433 5.604
C 13.442 -8.591 4.444
P 2.524 -7.369 5.919
P 12.504 -8.171 2.975
H -3.722 -4.602 4.087
Cl 2.538 -5.686 2.422
H 13.120 -9.579 4.798
H -3.159 -2.894 4.179
Cl 6.307 -9.581 3.431
P 4.792 -3.185 1.413
Cl 7.668 -9.398 6.665
H -1.576 -1.160 0.710
H 2.708 -6.642 4.720
H 2.625 -8.686 2.167
Zn 7.195 -7.989 4.971
C -3.917 -3.612 4.523
H 3.450 -2.736 1.396
H 3.285 -9.432 6.823
Cl 10.021 -6.668 7.308
H 11.145 -7.985 3.310
H -5.785 -1.736 4.363
H 10.414 -10.631 6.078
Cl 8.899 -6.875 3.826
Cl 1.131 -1.717 1.249
```